Material: Sr2MoAu
Method: DFT, GGA-PBE
State: relaxed

Unit cell a=3.708 b=3.708 c=9.068 alpha=90.00 beta=90.00 gamma=90.00
Space group P4mm (No. 99)
Asymmetric unit:
Sr (0.000, 0.000, 0.000)
Sr (0.500, 0.500, 0.399)
Mo (0.500, 0.500, 0.745)
Au (0.000, 0.000, 0.643)

volume = 31.2 Å³ per atom
polymorph energy (0 for the lowest one) = 141 meV per atom
total magnetization = 2.7 μB/f.u.
raw total energy = -15.9 eV for the cell shown

***

Material: TiRuS2N
Method: DFT, GGA-PBE
State: relaxed

Unit cell a=4.767 b=4.767 c=3.628 alpha=90.00 beta=90.00 gamma=90.00
Space group P4/mmm (No. 123)
Asymmetric unit:
Ti (0.000, 0.000, 0.000)
Ru (0.500, 0.500, 0.500)
S (0.000, 0.500, 0.500)
N (0.500, 0.500, 0.000)

uncorrected formation energy = 0.240 eV/atom
volume = 16.5 Å³ per atom
polymorph energy (0 for the lowest one) = 0 meV per atom
total magnetization = 0.0 μB/f.u.
raw total energy = -32.5 eV for the cell shown

***

Material: CrCuMo2
Method: DFT, GGA-PBE
State: relaxed

Unit cell a=6.127 b=6.127 c=6.127 alpha=90.00 beta=90.00 gamma=90.00
Space group F-43m (No. 216)
Asymmetric unit:
Cr (0.000, 0.000, 0.000)
Cu (0.250, 0.250, 0.250)
Mo (0.000, 0.000, 0.500)
Mo (0.250, 0.250, 0.750)

volume = 14.4 Å³ per atom
polymorph energy (0 for the lowest one) = 171 meV per atom
total magnetization = 1.9 μB/f.u.
raw total energy = -136.0 eV for the cell shown

***

Material: KBaAs2
Method: DFT, GGA-PBE
State: relaxed

Unit cell a=12.117 b=4.263 c=5.322 alpha=90.00 beta=102.18 gamma=90.00
Space group Cm (No. 8)
Asymmetric unit:
K (0.000, 0.000, 0.000)
Ba (0.237, 0.500, 0.554)
As (0.282, 0.000, 0.098)
As (0.446, 0.000, 0.445)

volume = 33.6 Å³ per atom
polymorph energy (0 for the lowest one) = 26 meV per atom
total magnetization = 0.0 μB/f.u.
raw total energy = -29.9 eV for the cell shown

***

Material: CaSn4PdRh2
Method: DFT, GGA-PBE
State: relaxed

Unit cell a=4.5733 b=4.5733 c=28.3300 alpha=90.00 beta=90.00 gamma=120.00
Space group R-3m (No. 166, hexagonal axes)
Asymmetric unit:
Ca (0.0000, 0.0000, 0.0000)
Sn (0.0000, 0.0000, 0.1288)
Sn (0.0000, 0.0000, 0.3979)
Pd (0.0000, 0.0000, 0.5000)
Rh (0.0000, 0.0000, 0.2285)

volume = 21.4 Å³ per atom
total magnetization = 0.0 μB/f.u.
raw total energy = -124.4 eV for the cell shown

***

Material: ReCl3
Method: DFT, GGA-PBE
State: relaxed

Unit cell a=6.728 b=6.728 c=6.728 alpha=90.00 beta=90.00 gamma=90.00
Space group Fm-3m (No. 225)
Asymmetric unit:
Re (0.000, 0.000, 0.000)
Cl (0.000, 0.000, 0.500)
Cl (0.250, 0.250, 0.250)

uncorrected formation energy = 0.994 eV/atom
volume = 19.0 Å³ per atom
polymorph energy (0 for the lowest one) = 1667 meV per atom
total magnetization = 4.0 μB/f.u.
raw total energy = -56.1 eV for the cell shown

***

Material: AcH4IrAu2
Method: DFT, GGA-PBE
State: relaxed

Unit cell a=5.319 b=5.320 c=5.338 alpha=115.82 beta=106.06 gamma=105.98
Space group P1 (No. 1)
Asymmetric unit:
Ac (0.000, 0.000, 0.000)
H (0.186, 0.470, 0.932)
H (0.499, 0.543, 0.455)
H (0.499, 0.922, 0.084)
H (0.810, 0.068, 0.532)
Ir (0.498, 0.733, 0.268)
Au (0.499, 0.237, 0.764)
Au (0.998, 0.659, 0.342)

volume = 14.5 Å³ per atom
total magnetization = 0.0 μB/f.u.
raw total energy = -35.6 eV for the cell shown

***

Material: CsNa4Bi
Method: DFT, GGA-PBE
State: relaxed

Unit cell a=9.638 b=9.638 c=9.638 alpha=90.00 beta=90.00 gamma=90.00
Space group F-43m (No. 216)
Asymmetric unit:
Cs (0.000, 0.000, 0.000)
Na (0.125, 0.125, 0.375)
Bi (0.250, 0.250, 0.750)

volume = 37.3 Å³ per atom
total magnetization = 0.0 μB/f.u.
raw total energy = -42.1 eV for the cell shown

***

Material: Ac4PmGe2
Method: DFT, GGA-PBE
State: relaxed

Unit cell a=5.4475 b=5.4475 c=30.3710 alpha=90.00 beta=90.00 gamma=120.00
Space group R-3m (No. 166, hexagonal axes)
Asymmetric unit:
Ac (0.0000, 0.0000, 0.1103)
Ac (0.0000, 0.0000, 0.2931)
Pm (0.0000, 0.0000, 0.5000)
Ge (0.0000, 0.0000, 0.4005)

volume = 37.2 Å³ per atom
total magnetization = 0.0 μB/f.u.
raw total energy = -97.0 eV for the cell shown

***

Material: CrGaAs
Method: DFT, GGA-PBE
State: relaxed

Unit cell a=11.056 b=3.000 c=5.885 alpha=90.00 beta=90.99 gamma=90.00
Space group Cm (No. 8)
Asymmetric unit:
Cr (0.000, 0.000, 0.000)
Cr (0.244, 0.000, 0.994)
Ga (0.143, 0.500, 0.701)
Ga (0.398, 0.000, 0.303)
As (0.140, 0.500, 0.257)
As (0.402, 0.000, 0.721)

volume = 16.3 Å³ per atom
polymorph energy (0 for the lowest one) = 99 meV per atom
total magnetization = 0.0 μB/f.u.
raw total energy = -69.4 eV for the cell shown

***

Material: AcTb6Ho2Er
Method: DFT, GGA-PBE
State: relaxed

Unit cell a=9.225 b=15.235 c=9.521 alpha=90.00 beta=95.07 gamma=90.00
Space group C2/c (No. 15)
Asymmetric unit:
Ac (0.000, 0.029, 0.250)
Tb (0.060, 0.189, 0.943)
Tb (0.101, 0.389, 0.117)
Tb (0.216, 0.228, 0.318)
Ho (0.239, 0.443, 0.452)
Er (0.000, 0.412, 0.750)

volume = 33.3 Å³ per atom
total magnetization = 0.0 μB/f.u.
raw total energy = -177.3 eV for the cell shown

***

Material: CaCdPd3
Method: DFT, GGA-PBE
State: relaxed

Unit cell a=5.545 b=7.623 c=9.409 alpha=90.00 beta=90.00 gamma=90.00
Space group Imma (No. 74)
Asymmetric unit:
Ca (0.000, 0.250, 0.003)
Cd (0.000, 0.000, 0.500)
Pd (0.000, 0.250, 0.706)
Pd (0.250, 0.063, 0.250)

volume = 19.9 Å³ per atom
polymorph energy (0 for the lowest one) = 0 meV per atom
total magnetization = 0.0 μB/f.u.
raw total energy = -82.9 eV for the cell shown

***

Material: TlPtAuN2
Method: DFT, GGA-PBE
State: relaxed

Unit cell a=4.173 b=4.173 c=5.743 alpha=90.00 beta=90.00 gamma=90.00
Space group P4/mmm (No. 123)
Asymmetric unit:
Tl (0.000, 0.000, 0.000)
Pt (0.500, 0.500, 0.500)
Au (0.000, 0.000, 0.500)
N (0.000, 0.500, 0.000)

uncorrected formation energy = 2.224 eV/atom
volume = 20.0 Å³ per atom
total magnetization = 3.1 μB/f.u.
raw total energy = -17.2 eV for the cell shown

***

Material: Tm5As4C
Method: DFT, GGA-PBE
State: relaxed

Unit cell a=8.825 b=8.825 c=5.680 alpha=90.00 beta=90.00 gamma=90.00
Space group I4 (No. 79)
Asymmetric unit:
Tm (0.000, 0.000, 0.000)
Tm (0.093, 0.270, 0.464)
As (0.091, 0.305, 0.962)
C (0.000, 0.000, 0.432)

volume = 22.1 Å³ per atom
total magnetization = 0.0 μB/f.u.
raw total energy = -123.3 eV for the cell shown

***

Material: DyMg2CdPd4
Method: DFT, GGA-PBE
State: relaxed

Unit cell a=4.6630 b=4.6630 c=22.9505 alpha=90.00 beta=90.00 gamma=120.00
Space group R-3m (No. 166, hexagonal axes)
Asymmetric unit:
Dy (0.0000, 0.0000, 0.0000)
Mg (0.0000, 0.0000, 0.2450)
Cd (0.0000, 0.0000, 0.5000)
Pd (0.0000, 0.0000, 0.1238)
Pd (0.0000, 0.0000, 0.3784)

volume = 18.0 Å³ per atom
total magnetization = 0.0 μB/f.u.
raw total energy = -104.9 eV for the cell shown

***

Material: KV2BMo
Method: DFT, GGA-PBE
State: relaxed

Unit cell a=4.176 b=4.176 c=5.103 alpha=90.00 beta=90.00 gamma=90.00
Space group P4/mmm (No. 123)
Asymmetric unit:
K (0.000, 0.000, 0.000)
V (0.000, 0.500, 0.500)
B (0.000, 0.000, 0.500)
Mo (0.500, 0.500, 0.000)

volume = 17.8 Å³ per atom
total magnetization = 1.2 μB/f.u.
raw total energy = -29.4 eV for the cell shown

***

Material: Ta2ZnOs2
Method: DFT, GGA-PBE
State: relaxed

Unit cell a=4.268 b=4.268 c=10.783 alpha=90.00 beta=90.00 gamma=90.00
Space group I4/mmm (No. 139)
Asymmetric unit:
Ta (0.000, 0.500, 0.250)
Zn (0.000, 0.000, 0.000)
Os (0.000, 0.000, 0.384)

volume = 19.6 Å³ per atom
polymorph energy (0 for the lowest one) = 203 meV per atom
total magnetization = 0.0 μB/f.u.
raw total energy = -93.0 eV for the cell shown

***

Material: NbIr2W2
Method: DFT, GGA-PBE
State: relaxed

Unit cell a=7.673 b=7.673 c=2.792 alpha=90.00 beta=90.00 gamma=90.00
Space group P4/mbm (No. 127)
Asymmetric unit:
Nb (0.000, 0.000, 0.000)
Ir (0.126, 0.374, 0.000)
W (0.170, 0.670, 0.500)

volume = 16.4 Å³ per atom
polymorph energy (0 for the lowest one) = 0 meV per atom
total magnetization = 0.0 μB/f.u.
raw total energy = -108.8 eV for the cell shown

***

Material: Th2NpCo2N6
Method: DFT, GGA-PBE
State: relaxed

Unit cell a=5.5476 b=5.5476 c=16.6675 alpha=90.00 beta=90.00 gamma=120.00
Space group R-3m (No. 166, hexagonal axes)
Asymmetric unit:
Th (0.0000, 0.0000, 0.2147)
Np (0.0000, 0.0000, 0.0000)
Co (0.0000, 0.0000, 0.3959)
N (0.0183, 0.5092, 0.7600)

uncorrected formation energy = -0.659 eV/atom
volume = 13.5 Å³ per atom
total magnetization = 1.7 μB/f.u.
raw total energy = -297.6 eV for the cell shown

***

Material: NaPmYSn
Method: DFT, GGA-PBE
State: relaxed

Unit cell a=7.636 b=7.636 c=7.636 alpha=90.00 beta=90.00 gamma=90.00
Space group F-43m (No. 216)
Asymmetric unit:
Na (0.000, 0.000, 0.000)
Pm (0.250, 0.250, 0.250)
Y (0.250, 0.250, 0.750)
Sn (0.000, 0.000, 0.500)

volume = 27.8 Å³ per atom
total magnetization = 0.1 μB/f.u.
raw total energy = -71.2 eV for the cell shown

***

Material: Ca3Tc5Ge12
Method: DFT, GGA-PBE
State: relaxed

Unit cell a=15.768 b=15.768 c=15.768 alpha=90.00 beta=90.00 gamma=90.00
Space group Ia-3d (No. 230)
Asymmetric unit:
Ca (0.000, 0.250, 0.125)
Tc (0.000, 0.000, 0.000)
Tc (0.000, 0.250, 0.375)
Ge (0.065, 0.125, 0.934)

volume = 24.5 Å³ per atom
total magnetization = 0.0 μB/f.u.
raw total energy = -864.1 eV for the cell shown